AlCuSn2C: relaxed, PBE-GGA.

- formation energy (eV per atom) = 1.4229
- energy relative to the lowest polymorph listed for this composition (kJ/mol of atoms) = 71.8
- VASP energy (hartree per atom) = -0.13196
- total moment (μB per cell) = 1.06
- volume (Å³/cell) = 112

Lattice parameters (Å, degrees): 5.0092 5.0092 4.4683 90.00 90.00 90.00
With the nearest neighbours (Å) after each atom.
Space group P4/mmm (No. 123)
Unique sites:
Al 0.0000 0.0000 0.0000 x1  2 Cu 2.23
Cu 0.0000 0.0000 0.5000 x1  2 Al 2.23
Sn 0.0000 0.5000 0.5000 x2  2 Cu 2.50
C 0.5000 0.5000 0.0000 x1  8 Sn 3.36, 4 Al 3.54